Entry a
SmHo8Er2: optimized geometry, PBE-GGA.

Geometry as POSCAR:
```
SmHo8Er2
1.0
5.171 0.001 -1.573
-1.058 7.457 -3.493
0.003 -0.612 9.322
Sm Ho Er
1 8 2
direct
0.500 0.000 0.000 Sm
0.619 0.795 0.237 Ho
0.333 0.560 0.667 Ho
0.159 0.121 0.319 Ho
0.018 0.315 0.037 Ho
0.841 0.879 0.681 Ho
0.667 0.440 0.333 Ho
0.381 0.205 0.763 Ho
0.982 0.685 0.963 Ho
0.203 0.746 0.405 Er
0.797 0.254 0.595 Er
```

Calculated values
As for the symmetry: P-1. As for the total magnetization: 0.000 μB/atom.

Entry b
SmHo8Er2: optimized geometry, PBE-GGA.

Geometry as POSCAR:
```
SmHo8Er2
1.0
-3.913 -1.107 3.709
-4.075 -6.200 -6.847
0.516 -9.619 -3.025
Sm Ho Er
1 8 2
direct
0.000 0.000 0.000 Sm
0.268 0.133 0.600 Ho
0.268 0.600 0.133 Ho
0.732 0.867 0.400 Ho
0.237 0.547 0.547 Ho
0.732 0.400 0.867 Ho
0.233 0.188 0.188 Ho
0.767 0.812 0.812 Ho
0.763 0.453 0.453 Ho
0.750 0.284 0.284 Er
0.250 0.716 0.716 Er
```

Calculated values
As for the symmetry: C2/m. As for the total magnetization: 0.000 μB/atom.

Which of them is most stable? Easy: entry a.

Entry a
Sm2Ho3Er2: optimized geometry, PBE-GGA.

Geometry as POSCAR:
```
Sm2Ho3Er2
1.0
3.494 0.000 0.000
0.000 8.454 -0.763
-1.747 -3.543 7.950
Sm Ho Er
2 3 2
direct
0.566 0.912 0.133 Sm
0.434 0.088 0.867 Sm
0.000 0.500 0.000 Ho
0.212 0.799 0.423 Ho
0.788 0.201 0.577 Ho
0.851 0.668 0.701 Er
0.149 0.332 0.299 Er
```

Calculated values
As for the symmetry: C2/m. As for the total magnetization: 0.000 μB/atom.

Entry b
Sm2Ho3Er2: optimized geometry, PBE-GGA.

Geometry as POSCAR:
```
Sm2Ho3Er2
1.0
3.443 -0.723 0.452
-1.213 11.132 -0.719
0.905 -0.636 6.035
Sm Ho Er
2 3 2
direct
0.859 0.144 0.570 Sm
0.141 0.856 0.430 Sm
0.000 0.000 0.000 Ho
0.428 0.571 0.286 Ho
0.572 0.429 0.714 Ho
0.717 0.288 0.141 Er
0.283 0.712 0.859 Er
```

Calculated values
As for the symmetry: C2/m. As for the total magnetization: 0.000 μB/atom.

Which of them is most stable? Easy: entry b.

Entry a
SmHo6Er4: optimized geometry, PBE-GGA.

Geometry as POSCAR:
```
SmHo6Er4
1.0
-2.452 -1.922 -4.707
4.948 -1.963 1.608
-11.632 -18.248 13.513
Sm Ho Er
2 12 8
direct
0.816 0.633 0.250 Sm
0.184 0.367 0.750 Sm
0.500 0.000 0.000 Ho
0.500 0.000 0.500 Ho
0.147 0.294 0.319 Ho
0.853 0.706 0.681 Ho
0.853 0.706 0.819 Ho
0.147 0.294 0.181 Ho
0.814 0.627 0.398 Ho
0.186 0.373 0.602 Ho
0.186 0.373 0.898 Ho
0.814 0.627 0.102 Ho
0.482 0.965 0.250 Ho
0.518 0.035 0.750 Ho
0.841 0.682 0.542 Er
0.476 0.952 0.121 Er
0.159 0.318 0.458 Er
0.524 0.048 0.879 Er
0.841 0.682 0.958 Er
0.159 0.318 0.042 Er
0.524 0.048 0.621 Er
0.476 0.952 0.379 Er
```

Calculated values
As for the symmetry: Cmcm. As for the total magnetization: 0.000 μB/atom.

Entry b
SmHo6Er4: optimized geometry, PBE-GGA.

Geometry as POSCAR:
```
SmHo6Er4
1.0
7.512 0.000 0.000
0.000 7.512 0.000
-3.756 -3.756 6.578
Sm Ho Er
1 6 4
direct
0.500 0.500 0.000 Sm
0.925 0.446 0.372 Ho
0.446 0.925 0.372 Ho
0.554 0.554 0.628 Ho
0.000 0.500 0.000 Ho
0.075 0.075 0.628 Ho
0.500 0.000 0.000 Ho
0.084 0.759 0.842 Er
0.916 0.916 0.158 Er
0.759 0.084 0.842 Er
0.241 0.241 0.158 Er
```

Calculated values
As for the symmetry: I-42m. As for the total magnetization: 0.000 μB/atom.

Which of them is most stable? Easy: entry a.

Entry a
Sm3Ho2Er2: optimized geometry, PBE-GGA.

Geometry as POSCAR:
```
Sm3Ho2Er2
1.0
-3.125 0.346 -1.540
-3.836 -1.440 7.458
3.556 8.023 -1.436
Sm Ho Er
3 2 2
direct
0.000 0.500 0.000 Sm
0.212 0.800 0.425 Sm
0.788 0.200 0.575 Sm
0.565 0.910 0.130 Ho
0.435 0.090 0.870 Ho
0.855 0.676 0.710 Er
0.145 0.324 0.290 Er
```

Calculated values
As for the symmetry: C2/m. As for the total magnetization: 0.000 μB/atom.

Entry b
Sm3Ho2Er2: optimized geometry, PBE-GGA.

Geometry as POSCAR:
```
Sm3Ho2Er2
1.0
-2.450 -0.978 2.392
-4.516 -0.912 -10.275
1.062 -5.937 1.309
Sm Ho Er
3 2 2
direct
0.000 0.000 0.000 Sm
0.430 0.572 0.285 Sm
0.570 0.428 0.715 Sm
0.856 0.142 0.571 Ho
0.144 0.858 0.429 Ho
0.712 0.284 0.145 Er
0.288 0.716 0.855 Er
```

Calculated values
As for the symmetry: P-1. As for the total magnetization: 0.000 μB/atom.

Which of them is most stable? Easy: entry b.

Entry a
Sm6Ho12Er: optimized geometry, PBE-GGA.

Geometry as POSCAR:
```
Sm6Ho12Er
1.0
-4.113 2.587 7.128
-8.181 -0.352 -2.716
-2.391 -7.620 3.263
Sm Ho Er
6 12 1
direct
0.768 0.768 0.162 Sm
0.838 0.232 0.232 Sm
0.232 0.838 0.232 Sm
0.232 0.232 0.838 Sm
0.162 0.768 0.768 Sm
0.768 0.162 0.768 Sm
0.804 0.486 0.486 Ho
0.486 0.804 0.486 Ho
0.486 0.486 0.804 Ho
0.196 0.514 0.514 Ho
0.514 0.196 0.514 Ho
0.514 0.514 0.196 Ho
0.136 0.136 0.487 Ho
0.864 0.513 0.864 Ho
0.513 0.864 0.864 Ho
0.864 0.864 0.513 Ho
0.136 0.487 0.136 Ho
0.487 0.136 0.136 Ho
0.000 0.000 0.000 Er
```

Calculated values
As for the symmetry: R-3m. As for the total magnetization: 0.000 μB/atom.

Entry b
Sm6Ho12Er: optimized geometry, PBE-GGA.

Geometry as POSCAR:
```
Sm6Ho12Er
1.0
8.603 -0.151 -1.181
-1.333 8.500 -1.181
-0.131 -0.151 8.682
Sm Ho Er
6 12 1
direct
0.903 0.343 0.903 Sm
0.903 0.903 0.343 Sm
0.343 0.903 0.903 Sm
0.097 0.097 0.657 Sm
0.097 0.657 0.097 Sm
0.657 0.097 0.097 Sm
0.758 0.242 0.500 Ho
0.355 0.083 0.355 Ho
0.355 0.355 0.083 Ho
0.917 0.645 0.645 Ho
0.645 0.645 0.917 Ho
0.645 0.917 0.645 Ho
0.500 0.758 0.242 Ho
0.242 0.500 0.758 Ho
0.242 0.758 0.500 Ho
0.500 0.242 0.758 Ho
0.758 0.500 0.242 Ho
0.083 0.355 0.355 Ho
0.000 0.000 0.000 Er
```

Calculated values
As for the symmetry: R-3m. As for the total magnetization: 0.000 μB/atom.

Which of them is most stable? Easy: entry a.

Entry a
Sm4HoEr6: optimized geometry, PBE-GGA.

Geometry as POSCAR:
```
Sm4HoEr6
1.0
-2.147 4.891 -8.054
1.815 -9.027 2.938
-4.357 -3.915 7.687
Sm Ho Er
4 1 6
direct
0.000 0.636 0.014 Sm
0.377 0.364 0.364 Sm
0.000 0.014 0.636 Sm
0.623 0.986 0.986 Sm
0.000 0.000 0.000 Ho
0.000 0.805 0.448 Er
0.000 0.448 0.805 Er
0.357 0.552 0.552 Er
0.500 0.500 0.000 Er
0.643 0.195 0.195 Er
0.500 0.000 0.500 Er
```

Calculated values
As for the symmetry: I-42m. As for the total magnetization: 0.000 μB/atom.

Entry b
Sm4HoEr6: optimized geometry, PBE-GGA.

Geometry as POSCAR:
```
Sm4HoEr6
1.0
-1.575 7.115 2.251
-6.996 -2.209 2.085
6.507 -3.850 3.804
Sm Ho Er
4 1 6
direct
0.098 0.750 0.847 Sm
0.902 0.902 0.153 Sm
0.750 0.098 0.847 Sm
0.250 0.250 0.153 Sm
0.500 0.500 0.000 Ho
0.925 0.441 0.366 Er
0.441 0.925 0.366 Er
0.559 0.559 0.634 Er
0.000 0.500 0.000 Er
0.075 0.075 0.634 Er
0.500 0.000 0.000 Er
```

Calculated values
As for the symmetry: I-42m. As for the total magnetization: 0.000 μB/atom.

Which of them is most stable? Easy: entry a.